# B2MoPbO6

A relaxed structure of B2MoPbO6 (GGA+U, Alexandria via LeMat-Bulk).

Values from the calculation:
Final energy, eV per cell: -73.75

a = 6.3970 Å, b = 6.3970 Å, c = 6.3970 Å
α = 46.16°, β = 46.16°, γ = 46.16°
Element x y z (fractional)
1 B 0.2361 0.2361 0.2361
2 B 0.7639 0.7639 0.7639
3 Mo 0.5000 0.5000 0.5000
4 Pb 0.0000 0.0000 0.0000
5 O 0.0600 0.7112 0.5142
6 O 0.2888 0.4858 0.9400
7 O 0.4858 0.9400 0.2888
8 O 0.5142 0.0600 0.7112
9 O 0.7112 0.5142 0.0600
10 O 0.9400 0.2888 0.4858